(1)
! PBE CsSnPt3, relaxed; values from VASP
&SYSTEM
  ibrav = 0, nat = 5, ntyp = 3
/
ATOMIC_SPECIES
Cs 132.91 Cs.upf
Sn 118.71 Sn.upf
Pt 195.08 Pt.upf
CELL_PARAMETERS angstrom
5.1632 0.0000 0.0000
0.0000 5.1632 0.0000
0.0000 0.0000 5.1632
ATOMIC_POSITIONS crystal
Cs 0.0000 0.0000 0.0000
Sn 0.5000 0.5000 0.5000
Pt 0.0000 0.5000 0.5000
Pt 0.5000 0.0000 0.5000
Pt 0.5000 0.5000 0.0000
! uncorrected energy: -0.306 Ry per atom
! magnetic moment: 0.0 μB/cell
! energy relative to the lowest polymorph listed for this composition: 0.0 meV/atom
! formation energy: 0.436 eV per atom
! space group: No. 221

(2)
! PBE Cs3Sn4Pt2, relaxed; values from VASP
&SYSTEM
  ibrav = 0, nat = 9, ntyp = 3
/
ATOMIC_SPECIES
Cs 132.91 Cs.upf
Sn 118.71 Sn.upf
Pt 195.08 Pt.upf
CELL_PARAMETERS angstrom
7.8375 -2.2276 0.0000
7.8375 2.2276 0.0000
-6.7402 0.0000 9.3054
ATOMIC_POSITIONS crystal
Cs 0.0000 0.0000 0.0000
Cs 0.2864 0.2864 0.3932
Cs 0.7136 0.7136 0.6068
Sn 0.0168 0.0168 0.6506
Sn 0.2553 0.2553 0.9032
Sn 0.7447 0.7447 0.0968
Sn 0.9832 0.9832 0.3494
Pt 0.3851 0.3851 0.1948
Pt 0.6149 0.6149 0.8052
! uncorrected energy: -0.277 Ry per atom
! magnetic moment: 0.0 μB/cell
! formation energy: -0.356 eV per atom
! space group: No. 12

(3)
! PBE CsSnPt, relaxed; values from VASP
&SYSTEM
  ibrav = 0, nat = 6, ntyp = 3
/
ATOMIC_SPECIES
Cs 132.91 Cs.upf
Sn 118.71 Sn.upf
Pt 195.08 Pt.upf
CELL_PARAMETERS angstrom
4.7469 0.0000 0.0000
0.0106 5.0873 0.0000
0.0474 0.6318 8.6817
ATOMIC_POSITIONS crystal
Cs 0.2471 0.2595 0.3338
Cs 0.7529 0.7405 0.6662
Sn 0.2497 0.1858 0.8790
Sn 0.7503 0.8142 0.1210
Pt 0.2514 0.6710 0.0037
Pt 0.7486 0.3290 0.9963
! uncorrected energy: -0.300 Ry per atom
! magnetic moment: 0.0 μB/cell
! energy relative to the lowest polymorph listed for this composition: 0.0 meV/atom
! formation energy: -0.449 eV per atom
! space group: No. 2

(4)
! PBE CsSr2SnPt, relaxed; values from VASP
&SYSTEM
  ibrav = 0, nat = 5, ntyp = 4
/
ATOMIC_SPECIES
Cs 132.91 Cs.upf
Sr 87.62 Sr.upf
Sn 118.71 Sn.upf
Pt 195.08 Pt.upf
CELL_PARAMETERS angstrom
6.0750 0.0000 0.0000
0.0000 6.0750 0.0000
0.0000 0.0000 5.2807
ATOMIC_POSITIONS crystal
Cs 0.0000 0.0000 0.0000
Sr 0.0000 0.5000 0.5000
Sr 0.5000 0.0000 0.5000
Sn 0.5000 0.5000 0.0000
Pt 0.5000 0.5000 0.5000
! uncorrected energy: -0.237 Ry per atom
! magnetic moment: 0.0 μB/cell
! formation energy: -0.375 eV per atom
! space group: No. 123

(5)
! PBE CsTl2SnPt, relaxed; values from VASP
&SYSTEM
  ibrav = 0, nat = 5, ntyp = 4
/
ATOMIC_SPECIES
Cs 132.91 Cs.upf
Tl 204.38 Tl.upf
Sn 118.71 Sn.upf
Pt 195.08 Pt.upf
CELL_PARAMETERS angstrom
5.6376 0.0000 0.0000
0.0000 5.6376 0.0000
0.0000 0.0000 5.3705
ATOMIC_POSITIONS crystal
Cs 0.0000 0.0000 0.0000
Tl 0.0000 0.5000 0.5000
Tl 0.5000 0.0000 0.5000
Sn 0.5000 0.5000 0.0000
Pt 0.5000 0.5000 0.5000
! uncorrected energy: -0.231 Ry per atom
! magnetic moment: 0.0 μB/cell
! formation energy: -0.023 eV per atom
! space group: No. 123

(6)
! PBE CsZn2SnPt, relaxed; values from VASP
&SYSTEM
  ibrav = 0, nat = 5, ntyp = 4
/
ATOMIC_SPECIES
Cs 132.91 Cs.upf
Zn 65.41 Zn.upf
Sn 118.71 Sn.upf
Pt 195.08 Pt.upf
CELL_PARAMETERS angstrom
5.1093 0.0000 0.0000
0.0000 5.1093 0.0000
0.0000 0.0000 5.2611
ATOMIC_POSITIONS crystal
Cs 0.0000 0.0000 0.0000
Zn 0.0000 0.5000 0.5000
Zn 0.5000 0.0000 0.5000
Sn 0.5000 0.5000 0.0000
Pt 0.5000 0.5000 0.5000
! uncorrected energy: -0.210 Ry per atom
! magnetic moment: 0.0 μB/cell
! formation energy: -0.167 eV per atom
! space group: No. 123

Q: Number 5 is which compound?
A: CsTl2SnPt